Density functional theory data (PBE) for a geometry-optimized MgAg2Te structure.

V, Å³/atom: 22.0
M_tot, μB/cell: 0.0
Uncorrected energy, eV per atom: -2.61
Mass density, kg/m3: 6936
Energy relative to the elements, uncorrected, eV per atom: 0.003

```
data_MgAg2Te
_symmetry_space_group_name_H-M 'F m -3 m'
_symmetry_Int_Tables_number 225
_symmetry_space_group_name_Hall '-F 4 2 3'
_cell_length_a 7.061
_cell_length_b 7.061
_cell_length_c 7.061
_cell_angle_alpha 90.00
_cell_angle_beta 90.00
_cell_angle_gamma 90.00
loop_
_atom_site_label
_atom_site_type_symbol
_atom_site_fract_x
_atom_site_fract_y
_atom_site_fract_z
_atom_site_occupancy
Mg1 Mg 0.000 0.000 0.000 1
Ag1 Ag 0.250 0.250 0.250 1
Te1 Te 0.000 0.000 0.500 1
```

Density functional theory data (PBE) for a geometry-optimized NdP4Pd12 structure.

V, Å³/atom: 17.2
M_tot, μB/cell: 0.0
ΔE_f, eV per atom: -0.4606
Uncorrected energy, eV per atom: -5.68
Mass density, kg/m3: 8763

```
data_NdP4Pd12
_symmetry_space_group_name_H-M 'I m -3'
_symmetry_Int_Tables_number 204
_symmetry_space_group_name_Hall '-I 2 2 3'
_cell_length_a 8.366
_cell_length_b 8.366
_cell_length_c 8.366
_cell_angle_alpha 90.00
_cell_angle_beta 90.00
_cell_angle_gamma 90.00
loop_
_atom_site_label
_atom_site_type_symbol
_atom_site_fract_x
_atom_site_fract_y
_atom_site_fract_z
_atom_site_occupancy
Nd1 Nd 0.000 0.000 0.000 1
P1 P 0.250 0.250 0.250 1
Pd1 Pd 0.000 0.336 0.172 1
```

Density functional theory data (PBE) for a geometry-optimized Tl2SiAu structure.

V, Å³/atom: 23.6
M_tot, μB/cell: 0.0
Uncorrected energy, eV per atom: -2.98
Mass density, kg/m3: 11128
Energy relative to the elements, uncorrected, eV per atom: 0.378

```
data_Tl2SiAu
_symmetry_space_group_name_H-M 'P m m m'
_symmetry_Int_Tables_number 47
_cell_length_a 4.031
_cell_length_b 4.431
_cell_length_c 5.294
_cell_angle_alpha 90.00
_cell_angle_beta 90.00
_cell_angle_gamma 90.00
loop_
_symmetry_equiv_pos_as_xyz
'x,y,z'
'-x,-y,-z'
'-x,-y,z'
'x,y,-z'
'x,-y,-z'
'-x,y,z'
'-x,y,-z'
'x,-y,z'
loop_
_atom_site_label
_atom_site_type_symbol
_atom_site_fract_x
_atom_site_fract_y
_atom_site_fract_z
_atom_site_occupancy
Tl1 Tl 0.000 0.000 0.000 1
Tl2 Tl 0.000 0.500 0.500 1
Si1 Si 0.500 0.000 0.500 1
Au1 Au 0.500 0.500 0.000 1
```

Density functional theory data (PBE) for a geometry-optimized NaCdTeI structure.

V, Å³/atom: 36.2
M_tot, μB/cell: 0.0
Uncorrected energy, eV per atom: -2.50
Mass density, kg/m3: 4465
Energy relative to the elements, uncorrected, eV per atom: -0.773

```
data_NaCdTeI
_symmetry_space_group_name_H-M 'R 3 m'
_symmetry_Int_Tables_number 160
_symmetry_space_group_name_Hall 'R 3 -2"'
_cell_length_a 4.6028
_cell_length_b 4.6028
_cell_length_c 23.7108
_cell_angle_alpha 90.00
_cell_angle_beta 90.00
_cell_angle_gamma 120.00
loop_
_atom_site_label
_atom_site_type_symbol
_atom_site_fract_x
_atom_site_fract_y
_atom_site_fract_z
_atom_site_occupancy
Na1 Na 0.0000 0.0000 0.0000 1
Cd1 Cd 0.0000 0.0000 0.8563 1
Te1 Te 0.0000 0.0000 0.2360 1
I1 I 0.0000 0.0000 0.7347 1
```

Density functional theory data (PBE) for a geometry-optimized CsZr2Pb2 structure.

V, Å³/atom: 29.0
M_tot, μB/cell: 2.0
ΔE_f, eV per atom: 0.0929
Uncorrected energy, eV per atom: -4.98
Mass density, kg/m3: 8355

```
data_CsZr2Pb2
_symmetry_space_group_name_H-M 'P 4/m b m'
_symmetry_Int_Tables_number 127
_symmetry_space_group_name_Hall '-P 4 2ab'
_cell_length_a 9.376
_cell_length_b 9.376
_cell_length_c 3.300
_cell_angle_alpha 90.00
_cell_angle_beta 90.00
_cell_angle_gamma 90.00
loop_
_atom_site_label
_atom_site_type_symbol
_atom_site_fract_x
_atom_site_fract_y
_atom_site_fract_z
_atom_site_occupancy
Cs1 Cs 0.000 0.000 0.000 1
Zr1 Zr 0.119 0.381 0.000 1
Pb1 Pb 0.167 0.667 0.500 1
```

Density functional theory data (PBE) for a geometry-optimized La2SmTm2 structure.

V, Å³/atom: 35.8
M_tot, μB/cell: 0.0
ΔE_f, eV per atom: 0.2928
Uncorrected energy, eV per atom: -4.41
Mass density, kg/m3: 7116

```
data_La2SmTm2
_symmetry_space_group_name_H-M 'C 1 2/c 1'
_symmetry_Int_Tables_number 15
_cell_length_a 9.415
_cell_length_b 13.437
_cell_length_c 6.119
_cell_angle_alpha 90.00
_cell_angle_beta 112.53
_cell_angle_gamma 90.00
loop_
_symmetry_equiv_pos_as_xyz
'x,y,z'
'-x,-y,-z'
'-x,y,-z+1/2'
'x,-y,z+1/2'
'x+1/2,y+1/2,z'
'-x+1/2,-y+1/2,-z'
'-x+1/2,y+1/2,-z+1/2'
'x+1/2,-y+1/2,z+1/2'
loop_
_atom_site_label
_atom_site_type_symbol
_atom_site_fract_x
_atom_site_fract_y
_atom_site_fract_z
_atom_site_occupancy
La1 La 0.183 0.080 0.367 1
Sm1 Sm 0.000 0.435 0.750 1
Tm1 Tm 0.000 0.173 0.750 1
Tm2 Tm 0.000 0.305 0.250 1
```

Density functional theory data (PBE) for a geometry-optimized BePb3W structure.

V, Å³/atom: 25.4
M_tot, μB/cell: 3.6
ΔE_f, eV per atom: 1.3247
Uncorrected energy, eV per atom: -4.24
Mass density, kg/m3: 10645

```
data_BePb3W
_symmetry_space_group_name_H-M 'P m -3 m'
_symmetry_Int_Tables_number 221
_symmetry_space_group_name_Hall '-P 4 2 3'
_cell_length_a 5.027
_cell_length_b 5.027
_cell_length_c 5.027
_cell_angle_alpha 90.00
_cell_angle_beta 90.00
_cell_angle_gamma 90.00
loop_
_atom_site_label
_atom_site_type_symbol
_atom_site_fract_x
_atom_site_fract_y
_atom_site_fract_z
_atom_site_occupancy
Be1 Be 0.000 0.000 0.000 1
Pb1 Pb 0.000 0.000 0.500 1
W1 W 0.500 0.500 0.500 1
```

Density functional theory data (PBE) for a geometry-optimized PmNpGa4 structure.

V, Å³/atom: 20.3
M_tot, μB/cell: 18.9
ΔE_f, eV per atom: -0.2872
Uncorrected energy, eV per atom: -5.25
Mass density, kg/m3: 8998

```
data_PmNpGa4
_symmetry_space_group_name_H-M 'F -4 3 m'
_symmetry_Int_Tables_number 216
_symmetry_space_group_name_Hall 'F -4 2 3'
_cell_length_a 7.872
_cell_length_b 7.872
_cell_length_c 7.872
_cell_angle_alpha 90.00
_cell_angle_beta 90.00
_cell_angle_gamma 90.00
loop_
_atom_site_label
_atom_site_type_symbol
_atom_site_fract_x
_atom_site_fract_y
_atom_site_fract_z
_atom_site_occupancy
Pm1 Pm 0.000 0.000 0.000 1
Np1 Np 0.250 0.250 0.750 1
Ga1 Ga 0.125 0.125 0.375 1
```

- What is the formula in the fourth record?
  NaCdTeI